Compound: PmMg3Ni2
Source: Alexandria via LeMat-Bulk
Functional: PBE
Structure: optimized geometry

V   500 Å³ per cell
Crystal system   monoclinic
Energy of formation from the pure elements   -97 kJ/mol of formula units
Mass density   4.45 g/cm³

Unit cell a=14.6990 b=3.8992 c=10.4525 alpha=90.00 beta=123.35 gamma=90.00
Closest atoms and distances in Å follow each position.
Space group C2/m (No. 12)
Asymmetric unit:
Pm 0.1465 0.0000 0.2283  4 Ni 2.78-2.89
Mg 0.0833 0.5000 0.9211  3 Ni 2.59-2.63
Mg 0.0848 0.5000 0.4529  3 Ni 2.66-2.73
Mg 0.1517 0.0000 0.7411  4 Ni 2.70-2.80
Ni 0.2273 0.0000 0.0420  2 Ni 2.38, 3 Mg 2.59-2.63
Ni 0.2312 0.0000 0.5518  2 Ni 2.44, 2 Mg 2.66

Compound: PmMgNi
Source: Alexandria via LeMat-Bulk
Functional: PBE
Structure: optimized geometry

V   388 Å³ per cell
Crystal system   orthorhombic
Energy of formation from the pure elements   -81 kJ/mol of formula units
Mass density   5.86 g/cm³

Unit cell a=12.9731 b=3.9334 c=7.5993 alpha=90.00 beta=90.00 gamma=90.00
Closest atoms and distances in Å follow each position.
Space group Pmma (No. 51)
Asymmetric unit:
Pm 0.0427 0.0000 0.2267  5 Ni 2.93-3.14
Pm 0.2500 0.0000 0.8604  5 Ni 2.92-3.19
Mg 0.1298 0.5000 0.5664  3 Ni 2.68-2.92
Mg 0.2500 0.5000 0.2076  4 Ni 2.65-2.87
Ni 0.0915 0.5000 0.9446  1 Ni 2.52
Ni 0.2500 0.0000 0.4412  6 Mg 2.65-2.68

Compound: Pm2MgNi
Source: Alexandria via LeMat-Bulk
Functional: PBE
Structure: optimized geometry

V   100 Å³ per cell
Crystal system   tetragonal
Energy of formation from the pure elements   -69 kJ/mol of formula units
Mass density   6.16 g/cm³

Unit cell a=3.5357 b=3.5357 c=8.0392 alpha=90.00 beta=90.00 gamma=90.00
Closest atoms and distances in Å follow each position.
Space group P4/mmm (No. 123)
Asymmetric unit:
Pm 0.0000 0.0000 0.2052  4 Ni 3.00, 1 Pm 3.30
Mg 0.5000 0.5000 0.5000  8 Pm 3.44, 4 Mg 3.54
Ni 0.5000 0.5000 0.0000  8 Pm 3.00

Compound: Pm4MgNi2
Source: Alexandria via LeMat-Bulk
Functional: PBE
Structure: optimized geometry

V   367 Å³ per cell
Crystal system   triclinic
Energy of formation from the pure elements   -96 kJ/mol of formula units
Mass density   6.54 g/cm³

Unit cell a=6.8738 b=7.0947 c=8.6588 alpha=106.39 beta=102.36 gamma=106.97
Closest atoms and distances in Å follow each position.
Space group P1 (No. 1)
Asymmetric unit:
Pm 0.0000 0.0000 0.0000  1 Ni 2.66
Pm 0.0325 0.1397 0.6008  1 Ni 2.66
Pm 0.1239 0.5265 0.9798  2 Ni 2.71-2.85
Pm 0.3533 0.4304 0.3819  2 Ni 2.69-2.73
Pm 0.5384 0.0613 0.7864  3 Ni 2.67-2.97
Pm 0.6014 0.0811 0.2152  2 Ni 2.73-2.83
Pm 0.7223 0.6294 0.1801  3 Ni 2.71-2.91
Pm 0.9346 0.6033 0.5775  3 Ni 2.78-3.11
Mg 0.2578 0.8676 0.3728  2 Ni 2.73-2.80
Mg 0.5309 0.5472 0.7859  2 Ni 2.84-3.17
Ni 0.3544 0.2765 0.9967  4 Pm 2.66-2.79
Ni 0.6257 0.2355 0.5603  3 Pm 2.67-2.83, 1 Ni 2.77, 2 Mg 2.80-2.84
Ni 0.6441 0.8359 0.4896  4 Pm 2.66-2.97, 1 Mg 2.73, 1 Ni 2.77
Ni 0.9539 0.3860 0.2184  5 Pm 2.69-3.00

Compound: PmMgNi
Source: Alexandria via LeMat-Bulk
Functional: PBE
Structure: optimized geometry

V   258 Å³ per cell
Crystal system   orthorhombic
Energy of formation from the pure elements   -38 kJ/mol of formula units
Mass density   5.87 g/cm³

Unit cell a=4.7499 b=4.7615 c=11.4103 alpha=90.00 beta=90.00 gamma=90.00
Closest atoms and distances in Å follow each position.
Space group Cmmm (No. 65)
Asymmetric unit:
Pm 0.0000 0.0000 0.2269  4 Ni 2.95, 1 Mg 3.12
Mg 0.0000 0.0000 0.5000  8 Ni 2.74
Mg 0.0000 0.5000 0.0000  4 Mg 3.36, 8 Pm 3.51-3.52
Ni 0.0000 0.5000 0.3803  1 Ni 2.73, 4 Mg 2.74, 4 Pm 2.95

Compound: PmMgNi2
Source: Alexandria via LeMat-Bulk
Functional: PBE
Structure: optimized geometry

V   70 Å³ per cell
Crystal system   tetragonal
Energy of formation from the pure elements   -66 kJ/mol of formula units
Mass density   6.77 g/cm³

Unit cell a=3.3174 b=3.3174 c=6.3893 alpha=90.00 beta=90.00 gamma=90.00
Closest atoms and distances in Å follow each position.
Space group P4/mmm (No. 123)
Asymmetric unit:
Pm 0.0000 0.0000 0.0000  8 Ni 2.99, 2 Mg 3.19, 4 Pm 3.32
Mg 0.0000 0.0000 0.5000  8 Ni 2.70
Ni 0.5000 0.5000 0.2905  1 Ni 2.68, 4 Mg 2.70, 4 Pm 2.99

Compound: PmMgNi2
Source: Alexandria via LeMat-Bulk
Functional: PBE
Structure: optimized geometry

V   301 Å³ per cell
Crystal system   orthorhombic
Energy of formation from the pure elements   -102 kJ/mol of formula units
Mass density   6.32 g/cm³

Unit cell a=7.5316 b=4.0270 c=9.9339 alpha=90.00 beta=90.00 gamma=90.00
Closest atoms and distances in Å follow each position.
Space group Pnma (No. 62)
Asymmetric unit:
Pm 0.1474 0.2500 0.1384  9 Ni 2.98-3.22
Mg 0.0158 0.7500 0.3928  5 Ni 2.58-2.72
Ni 0.1455 0.2500 0.8364  2 Ni 2.35, 2 Mg 2.58-2.61
Ni 0.2469 0.7500 0.9301  2 Ni 2.35

Compound: Pm2MgNi2
Source: Alexandria via LeMat-Bulk
Functional: PBE
Structure: optimized geometry

V   222 Å³ per cell
Crystal system   orthorhombic
Energy of formation from the pure elements   -154 kJ/mol of formula units
Mass density   6.45 g/cm³

Unit cell a=4.0121 b=14.5322 c=3.8140 alpha=90.00 beta=90.00 gamma=90.00
Closest atoms and distances in Å follow each position.
Space group Cmmm (No. 65)
Asymmetric unit:
Pm 0.0000 0.1399 0.0000  6 Ni 2.90-3.00
Mg 0.0000 0.5000 0.5000  2 Ni 2.92
Ni 0.0000 0.2994 0.5000  2 Ni 2.47

Compound: PmMg8Ni4
Source: Alexandria via LeMat-Bulk
Functional: PBE
Structure: optimized geometry

V   466 Å³ per cell
Crystal system   tetragonal
Energy of formation from the pure elements   -174 kJ/mol of formula units
Mass density   4.09 g/cm³

Unit cell a=9.2933 b=9.2933 c=5.3922 alpha=90.00 beta=90.00 gamma=90.00
Closest atoms and distances in Å follow each position.
Space group I4/mmm (No. 139)
Asymmetric unit:
Pm 0.0000 0.0000 0.0000  12 Mg 3.14-3.39
Mg 0.0000 0.2206 0.5000  4 Ni 2.70, 6 Mg 2.90-3.00
Mg 0.0000 0.3375 0.0000  4 Ni 2.81, 5 Mg 2.91-3.02, 1 Pm 3.14
Ni 0.2500 0.2500 0.2500  2 Ni 2.70, 8 Mg 2.70-2.81

Compound: PmMg2Ni
Source: Alexandria via LeMat-Bulk
Functional: PBE
Structure: optimized geometry

V   172 Å³ per cell
Crystal system   monoclinic
Energy of formation from the pure elements   -91 kJ/mol of formula units
Mass density   4.86 g/cm³

Unit cell a=4.0942 b=8.3050 c=5.4622 alpha=90.00 beta=111.82 gamma=90.00
Closest atoms and distances in Å follow each position.
Space group P2_1/m (No. 11)
Asymmetric unit:
Pm 0.0616 0.2500 0.1242  3 Ni 2.92-2.97
Mg 0.3478 0.0552 0.6961  3 Ni 2.73-2.80, 2 Mg 2.99-3.00
Ni 0.2309 0.7500 0.4621  6 Mg 2.73-2.80, 3 Pm 2.92-2.97

Compound: PmMg4Ni
Source: Alexandria via LeMat-Bulk
Functional: PBE
Structure: optimized geometry

V   266 Å³ per cell
Crystal system   orthorhombic
Energy of formation from the pure elements   -88 kJ/mol of formula units
Mass density   3.76 g/cm³

Unit cell a=8.6301 b=4.1809 c=7.3723 alpha=90.00 beta=90.00 gamma=90.00
Closest atoms and distances in Å follow each position.
Space group Pmma (No. 51)
Asymmetric unit:
Pm 0.2500 0.0000 0.0912  1 Ni 2.83
Mg 0.0000 0.0000 0.5000  2 Ni 2.64
Mg 0.0638 0.5000 0.8018  2 Ni 2.73, 1 Mg 3.03
Mg 0.2500 0.5000 0.4534  2 Ni 2.80, 6 Mg 3.02-3.03
Ni 0.2500 0.0000 0.7068  8 Mg 2.64-2.80, 1 Pm 2.83

Compound: Pm8Mg3Ni2
Source: Alexandria via LeMat-Bulk
Functional: PBE
Structure: optimized geometry

V   781 Å³ per cell
Crystal system   monoclinic
Energy of formation from the pure elements   -2 kJ/mol of formula units
Mass density   5.74 g/cm³

Unit cell a=17.7859 b=7.3139 c=6.0998 alpha=90.00 beta=99.97 gamma=90.00
Closest atoms and distances in Å follow each position.
Space group C2/m (No. 12)
Asymmetric unit:
Pm 0.0938 0.0000 0.2986  1 Ni 2.71
Pm 0.1562 0.2476 0.8487  2 Ni 2.73-2.80
Pm 0.1922 0.5000 0.3688  1 Ni 2.94
Mg 0.0000 0.3151 0.5000  1 Mg 2.70
Mg 0.0000 0.5000 0.0000  4 Mg 3.34, 4 Pm 3.59
Ni 0.2313 0.0000 0.1627  6 Pm 2.71-2.94